No. 1
Material: La2BiHRh
Method: DFT, PBE
State: optimized geometry

a = 5.368 Å, b = 5.368 Å, c = 3.963 Å
α = 90.00°, β = 90.00°, γ = 90.00°
Atoms (fractional coordinates):
La: 0.000 0.500 0.000
La: 0.500 0.000 0.000
Bi: 0.000 0.000 0.500
H: 0.500 0.500 0.000
Rh: 0.500 0.500 0.500

Properties
Volume, A^3/atom: 22.8
Uncorrected energy, eV per formula unit: -27.5
Total moment, μB per formula unit: 0.000
Space group: P4/mmm (123)



No. 2
Material: ThSnPdAu
Method: DFT, PBE
State: optimized geometry

a = 5.023 Å, b = 5.023 Å, c = 5.023 Å
α = 60.00°, β = 60.00°, γ = 60.00°
Atoms (fractional coordinates):
Th: 0.000 0.000 0.000
Sn: 0.500 0.500 0.500
Pd: 0.250 0.250 0.250
Au: 0.750 0.750 0.750

Properties
Volume, A^3/atom: 22.4
Uncorrected energy, eV per formula unit: -22.7
Total moment, μB per formula unit: 0.000
ΔH_f (0 K), kJ per mole of atoms: -67.5
Space group: F-43m (216)



Q: Among the records above, which one has the highest volume?
A: La2BiHRh



Q: Which of these has the lowest volume?
A: ThSnPdAu



Q: total moment of number 1 (La2BiHRh)?
A: 0.000 μB per formula unit